Computed, not measured: crystalline Rb2PtIN at its relaxed geometry at the PBE-GGA level of DFT.

```
Rb2PtIN
1.0
6.702 0.000 0.000
0.000 6.702 0.000
0.000 0.000 3.755
Rb Pt I N
2 1 1 1
direct
0.000 0.500 0.000
0.500 0.000 0.000
0.000 0.000 0.000
0.500 0.500 0.500
0.000 0.000 0.500
```

Output
Magnetization ... 0.00 μB/f.u.
Excess energy over the best structure of this formula in the dataset ... 61 meV/atom
Space group ... P4/mmm (123)
Total DFT energy (no corrections) ... -4.091 eV/atom
N(E_F) ... 3.61 states/eV/f.u.
Formation energy (no corrections) ... -0.52 eV per atom